The following is a PBE calculation of an optimized crystal structure of PuNpPd4, from the Alexandria database.

The space group is F-43m (No. 216) and the conventional cell measures 7.687, 7.687 and 7.687 Å, with angles of 90.00, 90.00 and 90.00 degrees. The asymmetric unit holds Pu at (0.000, 0.000, 0.000), Np at (0.250, 0.250, 0.250) and Pd at (0.125, 0.125, 0.625).

***

The following is a PBE calculation of an optimized crystal structure of ZrBeOs2, from the Alexandria database.

The space group is Pmmm (No. 47) and the conventional cell measures 3.151, 4.184 and 4.560 Å, with angles of 90.00, 90.00 and 90.00 degrees. The asymmetric unit holds Zr at (0.000, 0.000, 0.000), Be at (0.500, 0.000, 0.500), Os at (0.000, 0.500, 0.500) and Os at (0.500, 0.500, 0.000).

***

The following is a PBE calculation of an optimized crystal structure of Sb3Au4, from the Alexandria database.

The space group is P6_3/m (No. 176) and the conventional cell measures 12.7466, 12.7466 and 3.2073 Å, with angles of 90.00, 90.00 and 120.00 degrees. The asymmetric unit holds Sb at (0.2124, 0.4463, 0.2500), Au at (0.0073, 0.3363, 0.7500) and Au at (0.3333, 0.6667, 0.7500).

The energy above the most stable polymorph in this dataset is 32 meV/atom. The uncorrected formation energy comes out at 0.105 eV per atom.

***

no.,mass density (g cm⁻³),E_tot (eV per atom)
1,13.261,-8.444
2,13.278,-8.559
3,8.486,-3.535